# 1
# Ho3ThCo8

A relaxed structure of Ho3ThCo8 (PBE, the Alexandria database).

Cell lengths 5.0661, 5.0661, 24.9443 Å; angles 90.00, 90.00, 120.00 degrees
Closest atoms and distances in Å follow each position.
Space group R3m (No. 160, hexagonal axes)
Inequivalent atoms, fractional coordinates:
Ho  0.0000  0.0000  0.0000  12 Co 2.95-2.97, 4 Ho 3.08
Ho  0.0000  0.0000  0.1236  12 Co 2.96-3.05, 1 Ho 3.08, 3 Th 3.13
Ho  0.0000  0.0000  0.6274  12 Co 2.92-2.99, 3 Ho 3.08, 1 Th 3.14
Th  0.0000  0.0000  0.5015  12 Co 2.97-3.02, 4 Ho 3.13-3.14
Co  0.0000  0.0000  0.3135  6 Co 2.52-2.53
Co  0.0000  0.0000  0.8127  6 Co 2.55-2.57
Co  0.0002  0.5001  0.5640  6 Co 2.53-2.57
Co  0.1674  0.3348  0.3956  6 Co 2.52-2.55

Output
Magnetic moment (μB per atom): 0.550
Energy of formation (eV/atom): -0.209

---

# 2
# MgAgSe

A relaxed structure of MgAgSe (PBE, the Alexandria database).

Cell lengths 4.0111, 4.0111, 4.7617 Å; angles 90.00, 90.00, 120.00 degrees
Closest atoms and distances in Å follow each position.
Space group P3m1 (No. 156)
Inequivalent atoms, fractional coordinates:
Mg  0.0000  0.0000  0.0000  3 Se 2.65, 3 Ag 2.96
Ag  0.3333  0.6667  0.6127  3 Se 2.83, 3 Mg 2.96
Se  0.6667  0.3333  0.2722  3 Mg 2.65, 3 Ag 2.83

Output
Excess energy over the best structure of this formula in the dataset (meV/atom): 119
Magnetic moment (μB per atom): 0.000

---

# 3
# Nd2Ge5Ru3

A relaxed structure of Nd2Ge5Ru3 (PBE, the Alexandria database).

Cell lengths 10.0107, 12.5627, 5.8841 Å; angles 90.00, 90.00, 90.00 degrees
Closest atoms and distances in Å follow each position.
Space group Ibam (No. 72)
Inequivalent atoms, fractional coordinates:
Nd  0.2316  0.1372  0.0000  9 Ge 3.02-3.36, 4 Ru 3.24-3.26
Ge  0.0000  0.0000  0.2500  4 Ru 2.53
Ge  0.0000  0.2910  0.2500  3 Ru 2.51-2.63, 2 Ge 2.71
Ge  0.1722  0.4097  0.0000  3 Ru 2.46-2.53, 2 Ge 2.71
Ru  0.0000  0.5000  0.2500  6 Ge 2.53-2.63
Ru  0.0923  0.1463  0.5000  5 Ge 2.46-2.53

Output
Magnetic moment (μB per atom): 0.000
Energy of formation (eV/atom): -0.645

---

# 4
# NiPd2RhSe6

A relaxed structure of NiPd2RhSe6 (PBE, the Alexandria database).

Cell lengths 11.6237, 12.7604, 6.3070 Å; angles 90.00, 113.20, 90.00 degrees
Closest atoms and distances in Å follow each position.
Space group C2/c (No. 15)
Inequivalent atoms, fractional coordinates:
Ni  0.0000  0.1912  0.2500  4 Se 2.34-2.35
Pd  0.1570  0.3810  0.4739  5 Se 2.50-2.77
Rh  0.0000  0.0824  0.7500  6 Se 2.48-2.68
Se  0.1104  0.4374  0.8137  1 Se 2.37, 2 Pd 2.50-2.51
Se  0.1204  0.0616  0.1701  1 Ni 2.35, 2 Rh 2.48
Se  0.1552  0.1983  0.6250  1 Ni 2.34, 1 Pd 2.52

Output
Magnetic moment (μB per atom): 0.000
Total energy (eV per atom): -4.59

---

# 5
# TiMn2CrOs

A relaxed structure of TiMn2CrOs (PBE, the Alexandria database).

Cell lengths 4.1139, 4.1139, 4.4803 Å; angles 90.00, 90.00, 90.00 degrees
Closest atoms and distances in Å follow each position.
Space group P4/mmm (No. 123)
Inequivalent atoms, fractional coordinates:
Ti  0.0000  0.0000  0.0000  4 Os 2.91, 8 Mn 3.04
Mn  0.0000  0.5000  0.5000  2 Cr 2.06
Cr  0.5000  0.5000  0.5000  4 Mn 2.06, 2 Os 2.24
Os  0.5000  0.5000  0.0000  2 Cr 2.24

Output
Excess energy over the best structure of this formula in the dataset (meV/atom): 0
Magnetic moment (μB per atom): 0.001
Energy of formation (eV/atom): 0.928

---

# 6
# La7TbNd12

A relaxed structure of La7TbNd12 (PBE, the Alexandria database).

Cell lengths 11.5148, 11.5148, 11.5148 Å; angles 90.00, 90.00, 90.00 degrees
Closest atoms and distances in Å follow each position.
Space group Im-3 (No. 204)
Inequivalent atoms, fractional coordinates:
La  0.0000  0.0000  0.5000  4 Nd 3.59
La  0.2500  0.2500  0.2500  6 Nd 2.92
Tb  0.0000  0.0000  0.0000  12 Nd 4.00
Nd  0.0000  0.2143  0.2737  2 La 2.92

Output
Excess energy over the best structure of this formula in the dataset (meV/atom): 379
Magnetic moment (μB per atom): 0.000
Energy of formation (eV/atom): 0.560

---

# 7
# Ho4Al2ZnIn

A relaxed structure of Ho4Al2ZnIn (PBE, the Alexandria database).

Cell lengths 5.1214, 5.1214, 25.0559 Å; angles 90.00, 90.00, 120.00 degrees
Closest atoms and distances in Å follow each position.
Space group R-3m (No. 166, hexagonal axes)
Inequivalent atoms, fractional coordinates:
Ho  0.0000  0.0000  0.1211  1 Zn 3.03, 4 Al 3.10-3.22, 3 In 3.17
Ho  0.0000  0.0000  0.3714  4 Al 3.05-3.17, 3 Zn 3.11, 1 In 3.22
Al  0.0000  0.0000  0.2495  8 Ho 3.05-3.22
Zn  0.0000  0.0000  0.0000  8 Ho 3.03-3.11
In  0.0000  0.0000  0.5000  8 Ho 3.17-3.22

Output
Magnetic moment (μB per atom): 0.000
Energy of formation (eV/atom): -0.394

---

# 8
# Mg2Be2SiIr5

A relaxed structure of Mg2Be2SiIr5 (PBE, the Alexandria database).

Cell lengths 9.4421, 9.4421, 2.9985 Å; angles 90.00, 90.00, 90.00 degrees
Closest atoms and distances in Å follow each position.
Space group P4/mbm (No. 127)
Inequivalent atoms, fractional coordinates:
Mg  0.1741  0.3259  0.0000  3 Be 2.67-2.87, 10 Ir 2.77-2.98
Be  0.1259  0.6259  0.0000  6 Ir 2.25-2.27
Si  0.0000  0.0000  0.0000  8 Ir 2.52
Ir  0.0000  0.5000  0.5000  4 Be 2.25
Ir  0.0692  0.7972  0.5000  2 Be 2.27, 2 Si 2.52

Output
Magnetic moment (μB per atom): 0.000
Total energy (eV per atom): -6.60